The following is a DFT calculation (PBE) of an optimized crystal structure of TlCuAu2.

The structure in extended XYZ format:
```
12
Lattice="3.4041 0.0000 0.0000 -1.7021 2.9481 0.0000 0.0000 0.0000 23.8471" Properties=species:S:1:pos:R:3 pbc="T T T"
Tl 0.0000 0.0000 0.0000
Tl 0.0000 1.9654 15.8981
Tl 1.7021 0.9827 7.9490
Cu 0.0000 0.0000 5.9661
Cu 0.0000 1.9654 21.8641
Cu 1.7021 0.9827 13.9151
Au 0.0000 0.0000 12.2092
Au 0.0000 0.0000 18.1268
Au 0.0000 1.9654 4.2601
Au 0.0000 1.9654 10.1778
Au 1.7021 0.9827 2.2288
Au 1.7021 0.9827 20.1582
```

Values from the calculation:
- E_tot: -12.26 eV/f.u.
- Fermi-level density of states: 2.4 states/eV/cell
- Calculated formation energy: 18.4 kJ/mol of atoms
- E above lowest polymorph: 132 meV per atom